Run one
Below is a relaxed structure of PuHfFe2, with properties calculated at the PBE-GGA level.

```
data_PuHfFe2
_cell_length_a 3.189
_cell_length_b 3.189
_cell_length_c 6.589
_cell_angle_alpha 90.00
_cell_angle_beta 90.00
_cell_angle_gamma 90.00
_space_group_name_H-M_alt 'P 4/m m m'
_space_group_IT_number 123
_space_group_name_Hall '-P 4 2'
loop_
_atom_site_label
_atom_site_fract_x
_atom_site_fract_y
_atom_site_fract_z
Pu1 0.000 0.000 0.000
Hf1 0.000 0.000 0.500
Fe1 0.500 0.500 0.262
```

Run two
Below is a relaxed structure of PuHfFe2, with properties calculated at the PBE-GGA level.

```
data_PuHfFe2
_cell_length_a 6.436
_cell_length_b 6.436
_cell_length_c 6.436
_cell_angle_alpha 90.00
_cell_angle_beta 90.00
_cell_angle_gamma 90.00
_space_group_name_H-M_alt 'F m -3 m'
_space_group_IT_number 225
_space_group_name_Hall '-F 4 2 3'
loop_
_atom_site_label
_atom_site_fract_x
_atom_site_fract_y
_atom_site_fract_z
Pu1 0.000 0.000 0.000
Hf1 0.000 0.000 0.500
Fe1 0.250 0.250 0.250
```

Which is most stable, and by how much? run one, by 2.4 kJ/mol of atoms.

Run one
Below is a relaxed structure of RbHfFe2, with properties calculated at the PBE-GGA level.

```
data_RbHfFe2
_cell_length_a 4.798
_cell_length_b 4.798
_cell_length_c 17.299
_cell_angle_alpha 90.00
_cell_angle_beta 90.00
_cell_angle_gamma 90.00
_space_group_name_H-M_alt 'I 41/a m d'
_space_group_IT_number 141
loop_
_space_group_symop_operation_xyz
'x,y,z'
'-x,-y,-z'
'-y+1/4,x+3/4,z+1/4'
'y+1/4,-x+3/4,-z+1/4'
'-x+1/2,-y,z+1/2'
'x+1/2,y,-z+1/2'
'y+1/4,-x+1/4,z+3/4'
'-y+1/4,x+1/4,-z+3/4'
'x,-y,-z'
'-x,y,z'
'-y+1/4,-x+1/4,-z+3/4'
'y+1/4,x+1/4,z+3/4'
'-x+1/2,y,-z+1/2'
'x+1/2,-y,z+1/2'
'y+1/4,x+3/4,-z+1/4'
'-y+1/4,-x+3/4,z+1/4'
'x+1/2,y+1/2,z+1/2'
'-x+1/2,-y+1/2,-z+1/2'
'-y+3/4,x+1/4,z+3/4'
'y+3/4,-x+1/4,-z+3/4'
'-x,-y+1/2,z'
'x,y+1/2,-z'
'y+3/4,-x+3/4,z+1/4'
'-y+3/4,x+3/4,-z+1/4'
'x+1/2,-y+1/2,-z+1/2'
'-x+1/2,y+1/2,z+1/2'
'-y+3/4,-x+3/4,-z+1/4'
'y+3/4,x+3/4,z+1/4'
'-x,y+1/2,-z'
'x,-y+1/2,z'
'y+3/4,x+1/4,-z+3/4'
'-y+3/4,-x+1/4,z+3/4'
loop_
_atom_site_label
_atom_site_fract_x
_atom_site_fract_y
_atom_site_fract_z
Rb1 0.000 0.250 0.375
Hf1 0.000 0.250 0.875
Fe1 0.000 0.000 0.000
```

Run two
Below is a relaxed structure of RbHfFe2, with properties calculated at the PBE-GGA level.

```
data_RbHfFe2
_cell_length_a 6.609
_cell_length_b 6.609
_cell_length_c 6.609
_cell_angle_alpha 90.00
_cell_angle_beta 90.00
_cell_angle_gamma 90.00
_space_group_name_H-M_alt 'F m -3 m'
_space_group_IT_number 225
_space_group_name_Hall '-F 4 2 3'
loop_
_atom_site_label
_atom_site_fract_x
_atom_site_fract_y
_atom_site_fract_z
Rb1 0.000 0.000 0.000
Hf1 0.000 0.000 0.500
Fe1 0.250 0.250 0.250
```

Which is most stable, and by how much? run one, by 18.0 kJ/mol of atoms.

Run one
Below is a relaxed structure of Hf3FeRe, with properties calculated at the PBE-GGA level.

```
data_Hf3FeRe
_cell_length_a 4.964
_cell_length_b 4.964
_cell_length_c 4.964
_cell_angle_alpha 90.00
_cell_angle_beta 90.00
_cell_angle_gamma 90.00
_space_group_name_H-M_alt 'P m -3 m'
_space_group_IT_number 221
_space_group_name_Hall '-P 4 2 3'
loop_
_atom_site_label
_atom_site_fract_x
_atom_site_fract_y
_atom_site_fract_z
Hf1 0.000 0.000 0.500
Fe1 0.500 0.500 0.500
Re1 0.000 0.000 0.000
```

Run two
Below is a relaxed structure of Hf3FeRe, with properties calculated at the PBE-GGA level.

```
data_Hf3FeRe
_cell_length_a 4.647
_cell_length_b 4.647
_cell_length_c 4.647
_cell_angle_alpha 90.00
_cell_angle_beta 90.00
_cell_angle_gamma 90.00
_space_group_name_H-M_alt 'P m -3 m'
_space_group_IT_number 221
_space_group_name_Hall '-P 4 2 3'
loop_
_atom_site_label
_atom_site_fract_x
_atom_site_fract_y
_atom_site_fract_z
Hf1 0.000 0.000 0.500
Fe1 0.000 0.000 0.000
Re1 0.500 0.500 0.500
```

Which is most stable, and by how much? run two, by 56.0 kJ/mol of atoms.

Run one
Below is a relaxed structure of HfFe3Rh, with properties calculated at the PBE-GGA level.

```
data_HfFe3Rh
_cell_length_a 4.375
_cell_length_b 4.375
_cell_length_c 4.375
_cell_angle_alpha 90.00
_cell_angle_beta 90.00
_cell_angle_gamma 90.00
_space_group_name_H-M_alt 'P m -3 m'
_space_group_IT_number 221
_space_group_name_Hall '-P 4 2 3'
loop_
_atom_site_label
_atom_site_fract_x
_atom_site_fract_y
_atom_site_fract_z
Hf1 0.000 0.000 0.000
Fe1 0.000 0.500 0.500
Rh1 0.500 0.500 0.500
```

Run two
Below is a relaxed structure of HfFe3Rh, with properties calculated at the PBE-GGA level.

```
data_HfFe3Rh
_cell_length_a 4.464
_cell_length_b 4.464
_cell_length_c 4.464
_cell_angle_alpha 90.00
_cell_angle_beta 90.00
_cell_angle_gamma 90.00
_space_group_name_H-M_alt 'P m -3 m'
_space_group_IT_number 221
_space_group_name_Hall '-P 4 2 3'
loop_
_atom_site_label
_atom_site_fract_x
_atom_site_fract_y
_atom_site_fract_z
Hf1 0.000 0.000 0.000
Fe1 0.000 0.000 0.500
Rh1 0.500 0.500 0.500
```

Which is most stable, and by how much? run one, by 29.5 kJ/mol of atoms.

Run one
Below is a relaxed structure of HfFe3Ru, with properties calculated at the PBE-GGA level.

```
data_HfFe3Ru
_cell_length_a 4.470
_cell_length_b 4.470
_cell_length_c 4.470
_cell_angle_alpha 90.00
_cell_angle_beta 90.00
_cell_angle_gamma 90.00
_space_group_name_H-M_alt 'P m -3 m'
_space_group_IT_number 221
_space_group_name_Hall '-P 4 2 3'
loop_
_atom_site_label
_atom_site_fract_x
_atom_site_fract_y
_atom_site_fract_z
Hf1 0.000 0.000 0.000
Fe1 0.000 0.000 0.500
Ru1 0.500 0.500 0.500
```

Run two
Below is a relaxed structure of HfFe3Ru, with properties calculated at the PBE-GGA level.

```
data_HfFe3Ru
_cell_length_a 4.456
_cell_length_b 4.456
_cell_length_c 4.456
_cell_angle_alpha 90.00
_cell_angle_beta 90.00
_cell_angle_gamma 90.00
_space_group_name_H-M_alt 'P m -3 m'
_space_group_IT_number 221
_space_group_name_Hall '-P 4 2 3'
loop_
_atom_site_label
_atom_site_fract_x
_atom_site_fract_y
_atom_site_fract_z
Hf1 0.000 0.000 0.000
Fe1 0.000 0.500 0.500
Ru1 0.500 0.500 0.500
```

Which is most stable, and by how much? run two, by 66.7 kJ/mol of atoms.

Run one
Below is a relaxed structure of HfFeS3, with properties calculated at the PBE-GGA level.

```
data_HfFeS3
_cell_length_a 4.895
_cell_length_b 4.895
_cell_length_c 4.895
_cell_angle_alpha 90.00
_cell_angle_beta 90.00
_cell_angle_gamma 90.00
_space_group_name_H-M_alt 'P m -3 m'
_space_group_IT_number 221
_space_group_name_Hall '-P 4 2 3'
loop_
_atom_site_label
_atom_site_fract_x
_atom_site_fract_y
_atom_site_fract_z
Hf1 0.000 0.000 0.000
Fe1 0.500 0.500 0.500
S1 0.000 0.000 0.500
```

Run two
Below is a relaxed structure of HfFeS3, with properties calculated at the PBE-GGA level.

```
data_HfFeS3
_cell_length_a 4.375
_cell_length_b 4.375
_cell_length_c 4.375
_cell_angle_alpha 90.00
_cell_angle_beta 90.00
_cell_angle_gamma 90.00
_space_group_name_H-M_alt 'P m -3 m'
_space_group_IT_number 221
_space_group_name_Hall '-P 4 2 3'
loop_
_atom_site_label
_atom_site_fract_x
_atom_site_fract_y
_atom_site_fract_z
Hf1 0.000 0.000 0.000
Fe1 0.500 0.500 0.500
S1 0.000 0.500 0.500
```

Which is most stable, and by how much? run one, by 4.5 kJ/mol of atoms.

Run one
Below is a relaxed structure of Hf5FeSb2, with properties calculated at the PBE-GGA level.

```
data_Hf5FeSb2
_cell_length_a 7.302
_cell_length_b 11.670
_cell_length_c 3.989
_cell_angle_alpha 90.00
_cell_angle_beta 90.00
_cell_angle_gamma 90.00
_space_group_name_H-M_alt 'P b a m'
_space_group_IT_number 55
loop_
_space_group_symop_operation_xyz
'x,y,z'
'-x,-y,-z'
'-x,-y,z'
'x,y,-z'
'x+1/2,-y+1/2,-z'
'-x+1/2,y+1/2,z'
'-x+1/2,y+1/2,-z'
'x+1/2,-y+1/2,z'
loop_
_atom_site_label
_atom_site_fract_x
_atom_site_fract_y
_atom_site_fract_z
Hf1 0.000 0.000 0.000
Hf2 0.146 0.313 0.000
Hf3 0.176 0.575 0.500
Fe1 0.000 0.500 0.000
Sb1 0.059 0.824 0.500
```

Run two
Below is a relaxed structure of Hf5FeSb2, with properties calculated at the PBE-GGA level.

```
data_Hf5FeSb2
_cell_length_a 10.914
_cell_length_b 10.914
_cell_length_c 5.562
_cell_angle_alpha 90.00
_cell_angle_beta 90.00
_cell_angle_gamma 90.00
_space_group_name_H-M_alt 'I 4/m c m'
_space_group_IT_number 140
_space_group_name_Hall '-I 4 2c'
loop_
_atom_site_label
_atom_site_fract_x
_atom_site_fract_y
_atom_site_fract_z
Hf1 0.000 0.500 0.250
Hf2 0.070 0.200 0.000
Fe1 0.000 0.000 0.250
Sb1 0.165 0.335 0.500
```

Which is most stable, and by how much? run two, by 8.4 kJ/mol of atoms.

Run one
Below is a relaxed structure of HfFe2Sb2, with properties calculated at the PBE-GGA level.

```
data_HfFe2Sb2
_cell_length_a 7.558
_cell_length_b 7.558
_cell_length_c 2.975
_cell_angle_alpha 90.00
_cell_angle_beta 90.00
_cell_angle_gamma 90.00
_space_group_name_H-M_alt 'P 4/m b m'
_space_group_IT_number 127
_space_group_name_Hall '-P 4 2ab'
loop_
_atom_site_label
_atom_site_fract_x
_atom_site_fract_y
_atom_site_fract_z
Hf1 0.000 0.000 0.000
Fe1 0.141 0.359 0.500
Sb1 0.151 0.651 0.000
```

Run two
Below is a relaxed structure of HfFe2Sb2, with properties calculated at the PBE-GGA level.

```
data_HfFe2Sb2
_cell_length_a 7.082
_cell_length_b 7.082
_cell_length_c 3.570
_cell_angle_alpha 90.00
_cell_angle_beta 90.00
_cell_angle_gamma 90.00
_space_group_name_H-M_alt 'P 4/m b m'
_space_group_IT_number 127
_space_group_name_Hall '-P 4 2ab'
loop_
_atom_site_label
_atom_site_fract_x
_atom_site_fract_y
_atom_site_fract_z
Hf1 0.000 0.000 0.000
Fe1 0.119 0.381 0.000
Sb1 0.176 0.676 0.500
```

Which is most stable, and by how much? run two, by 15.1 kJ/mol of atoms.